An optimized crystal structure of LaWAu. Source: Alexandria via LeMat-Bulk, functional PBE.

Unit cell a=3.001 b=3.001 c=14.063 alpha=90.00 beta=90.00 gamma=90.00
Fractional positions:
La 0.000 0.000 0.000
La 0.500 0.500 0.500
W 0.000 0.000 0.321
W 0.500 0.500 0.821
Au 0.000 0.000 0.686
Au 0.500 0.500 0.186

Properties
Spin magnetization in μB per cell: 0.0
Space-group type: I4mm
Density of states at the Fermi level in states/eV/f.u.: 1.22
Energy of formation from the pure elements in eV/atom: 0.34



An optimized crystal structure of KGaH4. Source: Alexandria via LeMat-Bulk, functional PBE.

Unit cell a=8.902 b=5.521 c=7.227 alpha=90.00 beta=90.00 gamma=90.00
Fractional positions:
K 0.179 0.250 0.164
K 0.321 0.750 0.664
K 0.679 0.250 0.336
K 0.821 0.750 0.836
Ga 0.066 0.250 0.691
Ga 0.434 0.750 0.191
Ga 0.566 0.250 0.809
Ga 0.934 0.750 0.309
H 0.085 0.016 0.821
H 0.085 0.484 0.821
H 0.097 0.750 0.399
H 0.198 0.250 0.542
H 0.302 0.750 0.042
H 0.403 0.250 0.899
H 0.415 0.516 0.321
H 0.415 0.984 0.321
H 0.585 0.016 0.679
H 0.585 0.484 0.679
H 0.597 0.750 0.101
H 0.698 0.250 0.958
H 0.802 0.750 0.458
H 0.903 0.250 0.601
H 0.915 0.516 0.179
H 0.915 0.984 0.179

Properties
Spin magnetization in μB per cell: 0.0
Space-group type: Pnma
Density of states at the Fermi level in states/eV/f.u.: 0.00
DFT total energy in eV per atom: -3.125



An optimized crystal structure of Pm2Nd7Sm. Source: Alexandria via LeMat-Bulk, functional PBE.

Unit cell a=10.474 b=10.474 c=3.551 alpha=90.00 beta=90.00 gamma=109.07
Fractional positions:
Pm 0.170 0.830 0.000
Pm 0.830 0.170 0.000
Nd 0.128 0.384 0.000
Nd 0.324 0.676 0.500
Nd 0.384 0.128 0.000
Nd 0.500 0.500 0.000
Nd 0.616 0.872 0.000
Nd 0.676 0.324 0.500
Nd 0.872 0.616 0.000
Sm 0.000 0.000 0.500

Properties
Spin magnetization in μB per cell: 0.0
Space-group type: Cmmm
Density of states at the Fermi level in states/eV/f.u.: 15.25
Energy of formation from the pure elements in eV/atom: 0.37



An optimized crystal structure of Mo5Os4. Source: Alexandria via LeMat-Bulk, functional PBE.

Unit cell a=7.642 b=7.642 c=5.478 alpha=90.00 beta=90.00 gamma=120.00
Fractional positions:
Mo 0.000 0.336 0.250
Mo 0.000 0.664 0.750
Mo 0.333 0.667 0.000
Mo 0.333 0.667 0.500
Mo 0.336 0.000 0.250
Mo 0.336 0.336 0.750
Mo 0.664 0.000 0.750
Mo 0.664 0.664 0.250
Mo 0.667 0.333 0.000
Mo 0.667 0.333 0.500
Os 0.000 0.000 0.000
Os 0.000 0.000 0.500
Os 0.000 0.327 0.750
Os 0.000 0.673 0.250
Os 0.327 0.000 0.750
Os 0.327 0.327 0.250
Os 0.673 0.000 0.250
Os 0.673 0.673 0.750

Properties
Spin magnetization in μB per cell: 0.0
Space-group type: P6_3/mcm
Density of states at the Fermi level in states/eV/f.u.: 10.40
Energy of formation from the pure elements in eV/atom: 0.20